Record 1
Density functional theory data (meta-GGA SCAN) for MnOF at its PBEsol-relaxed geometry.

abc: 4.5540 4.5540 6.1251
angles: 90.00 90.00 90.00
Last column: nearest neighbours and their distance in Å.
Space group P4_12_12 (No. 92)
Asymmetric unit:
Mn 0.0302 0.0302 0.0000  3 O 1.89-1.92, 1 F 1.96
O 0.1770 0.8230 0.2500  3 Mn 1.89-1.92
F 0.2254 0.7746 0.7500  3 Mn 1.96-2.12

Calculated values
- E_form (uncorrected): -7.44 eV/f.u.
- V: 127 Å³ per cell


Record 2
Density functional theory data (meta-GGA SCAN) for AgSbPb at its PBEsol-relaxed geometry.

abc: 6.8209 6.8209 6.8209
angles: 90.00 90.00 90.00
Last column: nearest neighbours and their distance in Å.
Space group F-43m (No. 216)
Asymmetric unit:
Ag 0.0000 0.0000 0.0000  4 Pb 2.95, 4 Sb 2.95
Sb 0.2500 0.2500 0.2500  4 Ag 2.95
Pb 0.2500 0.2500 0.7500  4 Ag 2.95

Calculated values
- E_form (uncorrected): 0.12 eV/f.u.
- Energy above the most stable polymorph in this dataset: 0 meV/atom
- V: 317 Å³ per cell


Record 3
Density functional theory data (meta-GGA SCAN) for RbGa2Ni2 at its PBEsol-relaxed geometry.

abc: 3.4784 3.4784 16.7847
angles: 90.00 90.00 90.00
Last column: nearest neighbours and their distance in Å.
Space group I4/mmm (No. 139)
Asymmetric unit:
Rb 0.0000 0.0000 0.0000  4 Rb 3.48, 8 Ga 3.54
Ga 0.0000 0.0000 0.3481  4 Ni 2.39
Ni 0.0000 0.5000 0.2500  4 Ga 2.39, 4 Ni 2.46

Calculated values
- V: 203 Å³ per cell
- Energy of formation from the pure elements: -0.02 eV/atom


Record 4
Density functional theory data (meta-GGA SCAN) for MoRh2Br at its PBEsol-relaxed geometry.

abc: 4.6863 4.6863 2.7955
angles: 90.00 90.00 90.00
Last column: nearest neighbours and their distance in Å.
Space group P4/mmm (No. 123)
Asymmetric unit:
Mo 0.0000 0.0000 0.0000  8 Rh 2.73, 2 Mo 2.80
Rh 0.0000 0.5000 0.5000  4 Br 2.73, 4 Mo 2.73, 2 Rh 2.80
Br 0.5000 0.5000 0.0000  8 Rh 2.73, 2 Br 2.80

Calculated values
- E_form (uncorrected): 3.13 eV/f.u.
- Energy above the most stable polymorph in this dataset: 515 meV/atom
- V: 61 Å³ per cell


Record 5
Density functional theory data (meta-GGA SCAN) for Ag5Pt3 at its PBEsol-relaxed geometry.

abc: 7.9186 8.1560 3.9191
angles: 90.00 90.00 90.00
Last column: nearest neighbours and their distance in Å.
Space group Cmmm (No. 65)
Asymmetric unit:
Ag 0.0000 0.0000 0.0000  8 Ag 2.81-2.84, 4 Pt 2.83
Ag 0.0000 0.2465 0.5000  6 Ag 2.79-2.81, 6 Pt 2.82-2.86
Ag 0.2500 0.2500 0.0000  6 Ag 2.79-2.84, 6 Pt 2.83-2.84
Pt 0.0000 0.5000 0.0000  4 Pt 2.74, 8 Ag 2.84-2.85
Pt 0.2423 0.5000 0.5000  2 Pt 2.74, 10 Ag 2.82-2.86

Calculated values
- Energy above the most stable polymorph in this dataset: 51 meV/atom
- V: 253 Å³ per cell
- Energy of formation from the pure elements: 0.03 eV/atom


Record 6
Density functional theory data (meta-GGA SCAN) for SnSb3Br at its PBEsol-relaxed geometry.

abc: 5.5872 5.5872 5.5872
angles: 90.00 90.00 90.00
Last column: nearest neighbours and their distance in Å.
Space group Pm-3m (No. 221)
Asymmetric unit:
Sn 0.0000 0.0000 0.0000  6 Sb 2.79
Sb 0.0000 0.0000 0.5000  2 Sn 2.79
Br 0.5000 0.5000 0.5000  12 Sb 3.95

Calculated values
- E_form (uncorrected): 3.79 eV/f.u.
- V: 174 Å³ per cell


Record 7
Density functional theory data (meta-GGA SCAN) for AgMo2Au at its PBEsol-relaxed geometry.

abc: 3.7783 3.7783 8.7871
angles: 90.00 90.00 90.00
Last column: nearest neighbours and their distance in Å.
Space group I4/mmm (No. 139)
Asymmetric unit:
Ag 0.0000 0.0000 0.0000  4 Au 2.67, 8 Mo 2.90
Mo 0.0000 0.5000 0.2500  4 Mo 2.67, 4 Ag 2.90, 4 Au 2.90
Au 0.0000 0.0000 0.5000  4 Ag 2.67, 8 Mo 2.90

Calculated values
- Energy above the most stable polymorph in this dataset: 49 meV/atom
- V: 125 Å³ per cell
- Energy of formation from the pure elements: 0.36 eV/atom


Record 8
Density functional theory data (meta-GGA SCAN) for Ta2AlAs at its PBEsol-relaxed geometry.

abc: 3.4102 3.4102 5.6485
angles: 90.00 90.00 90.00
Last column: nearest neighbours and their distance in Å.
Space group P4mm (No. 99)
Asymmetric unit:
Ta 0.0000 0.0000 0.0000  4 As 2.76, 2 Al 2.81-2.83, 4 Ta 2.83
Ta 0.5000 0.5000 0.2623  4 Al 2.77, 2 As 2.82-2.83, 4 Ta 2.83
Al 0.0000 0.0000 0.5019  6 Ta 2.77-2.83, 4 As 2.82
As 0.5000 0.5000 0.7615  6 Ta 2.76-2.83, 4 Al 2.82

Calculated values
- Energy above the most stable polymorph in this dataset: 0 meV/atom
- V: 66 Å³ per cell
- Energy of formation from the pure elements: -0.25 eV/atom


Record 9
Density functional theory data (meta-GGA SCAN) for Li2RePt at its PBEsol-relaxed geometry.

abc: 2.7074 2.7074 7.8938
angles: 90.00 90.00 90.00
Last column: nearest neighbours and their distance in Å.
Space group P4mm (No. 99)
Asymmetric unit:
Li 0.0000 0.0000 0.0000  8 Li 2.71-2.95, 4 Re 2.74
Li 0.5000 0.5000 0.2847  4 Pt 2.61, 4 Li 2.71
Re 0.5000 0.5000 0.7511  4 Pt 2.70, 4 Re 2.71, 4 Li 2.74
Pt 0.0000 0.0000 0.5101  4 Li 2.61, 4 Re 2.70, 4 Pt 2.71

Calculated values
- Energy above the most stable polymorph in this dataset: 155 meV/atom
- V: 58 Å³ per cell
- Energy of formation from the pure elements: -0.07 eV/atom


Record 10
Density functional theory data (meta-GGA SCAN) for BiIrO3 at its PBEsol-relaxed geometry.

abc: 4.1930 4.1930 4.1930
angles: 90.00 90.00 90.00
Last column: nearest neighbours and their distance in Å.
Space group Pm-3m (No. 221)
Asymmetric unit:
Bi 0.0000 0.0000 0.0000  6 O 2.10
Ir 0.5000 0.5000 0.5000  12 O 2.96
O 0.0000 0.0000 0.5000  2 Bi 2.10

Calculated values
- E_form (uncorrected): 3.18 eV/f.u.
- V: 74 Å³ per cell


Record 11
Density functional theory data (meta-GGA SCAN) for YMg2Cu2 at its PBEsol-relaxed geometry.

abc: 4.5642 5.7583 7.0069
angles: 90.00 90.00 90.00
Last column: nearest neighbours and their distance in Å.
Space group Immm (No. 71)
Asymmetric unit:
Y 0.0000 0.0000 0.0000  4 Cu 2.86, 4 Mg 3.10
Mg 0.0000 0.5000 0.2009  6 Cu 2.71-2.92, 1 Mg 2.82
Cu 0.0000 0.2015 0.5000  1 Cu 2.32

Calculated values
- Energy above the most stable polymorph in this dataset: 53 meV/atom
- V: 184 Å³ per cell
- Energy of formation from the pure elements: -0.15 eV/atom


Record 12
Density functional theory data (meta-GGA SCAN) for K2LaNb5O15 at its PBEsol-relaxed geometry.

abc: 12.6841 12.6841 3.9391
angles: 90.00 90.00 90.00
Last column: nearest neighbours and their distance in Å.
Space group P4/mbm (No. 127)
Asymmetric unit:
K 0.1703 0.3297 0.0000  7 O 2.82-3.05
La 0.0000 0.0000 0.0000  12 O 2.62-2.70
Nb 0.0000 0.5000 0.5000  6 O 1.97-2.00
Nb 0.0769 0.7867 0.5000  6 O 1.92-2.07
O 0.0000 0.5000 0.0000  2 Nb 1.97
O 0.0013 0.3425 0.5000  2 Nb 1.92-2.00
O 0.0597 0.1327 0.5000  2 Nb 2.01-2.07
O 0.0799 0.8096 0.0000  2 Nb 1.99
O 0.2171 0.7171 0.5000  2 Nb 1.99

Calculated values
- E_form (uncorrected): -66.26 eV/f.u.
- V: 634 Å³ per cell


Record 13
Density functional theory data (meta-GGA SCAN) for RbI at its PBEsol-relaxed geometry.

abc: 4.3490 4.3490 4.3490
angles: 90.00 90.00 90.00
Last column: nearest neighbours and their distance in Å.
Space group Pm-3m (No. 221)
Asymmetric unit:
Rb 0.0000 0.0000 0.0000  8 I 3.77
I 0.5000 0.5000 0.5000  8 Rb 3.77

Calculated values
- E_form (uncorrected): -3.28 eV/f.u.
- V: 82 Å³ per cell


Record 14
Density functional theory data (meta-GGA SCAN) for ZnWCl at its PBEsol-relaxed geometry.

abc: 6.2260 6.2260 6.2260
angles: 90.00 90.00 90.00
Last column: nearest neighbours and their distance in Å.
Space group F-43m (No. 216)
Asymmetric unit:
Zn 0.0000 0.0000 0.0000  4 Cl 2.70, 4 W 2.70
W 0.2500 0.2500 0.7500  4 Zn 2.70
Cl 0.2500 0.2500 0.2500  4 Zn 2.70

Calculated values
- E_form (uncorrected): 5.61 eV/f.u.
- Energy above the most stable polymorph in this dataset: 1111 meV/atom
- V: 241 Å³ per cell


Record 15
Density functional theory data (meta-GGA SCAN) for MnAs2P at its PBEsol-relaxed geometry.

abc: 3.0245 4.5101 4.6355
angles: 90.00 90.00 90.00
Last column: nearest neighbours and their distance in Å.
Space group Pmmm (No. 47)
Asymmetric unit:
Mn 0.0000 0.0000 0.0000  4 As 2.72, 4 P 2.77, 2 Mn 3.02
As 0.0000 0.5000 0.5000  4 P 2.72, 6 As 2.77-3.02
As 0.5000 0.5000 0.0000  4 Mn 2.72, 6 As 2.77-3.02
P 0.5000 0.0000 0.5000  4 As 2.72, 4 Mn 2.77, 2 P 3.02

Calculated values
- V: 63 Å³ per cell
- Energy of formation from the pure elements: 0.26 eV/atom


Record 16
Density functional theory data (meta-GGA SCAN) for LaCd2Co2 at its PBEsol-relaxed geometry.

abc: 4.1361 4.1361 11.1025
angles: 90.00 90.00 90.00
Last column: nearest neighbours and their distance in Å.
Space group I4/mmm (No. 139)
Asymmetric unit:
La 0.0000 0.0000 0.0000  8 Co 3.11, 8 Cd 3.46
Cd 0.0000 0.5000 0.2500  4 Co 2.68, 4 Cd 2.92
Co 0.0000 0.0000 0.4039  1 Co 2.13

Calculated values
- V: 190 Å³ per cell
- Energy of formation from the pure elements: 0.04 eV/atom


Record 17
Density functional theory data (meta-GGA SCAN) for Cu2IrPb at its PBEsol-relaxed geometry.

abc: 2.9580 2.9580 25.4189
angles: 90.00 90.00 120.00
Last column: nearest neighbours and their distance in Å.
Space group R-3m (No. 166, hexagonal axes)
Asymmetric unit:
Cu 0.0000 0.0000 0.2424  3 Ir 2.57, 3 Pb 2.87
Ir 0.0000 0.0000 0.5000  6 Cu 2.57
Pb 0.0000 0.0000 0.0000  6 Cu 2.87, 6 Pb 2.96

Calculated values
- V: 193 Å³ per cell
- Energy of formation from the pure elements: 0.56 eV/atom


Record 18
Density functional theory data (meta-GGA SCAN) for Re2HgTe at its PBEsol-relaxed geometry.

abc: 2.9294 2.9294 30.8929
angles: 90.00 90.00 120.00
Last column: nearest neighbours and their distance in Å.
Space group R3m (No. 160, hexagonal axes)
Asymmetric unit:
Re 0.0000 0.0000 0.0000  3 Re 2.61, 3 Te 2.91
Re 0.0000 0.0000 0.2689  3 Re 2.61
Hg 0.0000 0.0000 0.5216  6 Hg 2.93, 3 Re 3.01
Te 0.0000 0.0000 0.7433  3 Re 2.91, 6 Te 2.93

Calculated values
- E_form (uncorrected): 2.28 eV/f.u.
- Energy above the most stable polymorph in this dataset: 0 meV/atom
- V: 230 Å³ per cell


Record 19
Density functional theory data (meta-GGA SCAN) for MgFe2Ru at its PBEsol-relaxed geometry.

abc: 2.9282 2.9282 6.1847
angles: 90.00 90.00 90.00
Last column: nearest neighbours and their distance in Å.
Space group P4mm (No. 99)
Asymmetric unit:
Mg 0.0000 0.0000 0.0000  5 Fe 2.71-3.01, 4 Ru 2.76, 4 Mg 2.93
Fe 0.0000 0.0000 0.5132  4 Fe 2.42, 4 Ru 2.47
Fe 0.5000 0.5000 0.7170  4 Fe 2.42, 1 Ru 2.61, 4 Mg 2.71
Ru 0.5000 0.5000 0.2955  5 Fe 2.47-2.61, 4 Mg 2.76

Calculated values
- V: 53 Å³ per cell
- Energy of formation from the pure elements: 0.09 eV/atom


Record 20
Density functional theory data (meta-GGA SCAN) for Mg2AlRu at its PBEsol-relaxed geometry.

abc: 2.9093 2.9093 27.5655
angles: 90.00 90.00 120.00
Last column: nearest neighbours and their distance in Å.
Space group R-3m (No. 166, hexagonal axes)
Asymmetric unit:
Mg 0.0000 0.0000 0.2427  3 Ru 2.69, 6 Mg 2.91
Al 0.0000 0.0000 0.0000  6 Al 2.91, 6 Mg 3.01
Ru 0.0000 0.0000 0.5000  6 Mg 2.69, 6 Ru 2.91

Calculated values
- V: 202 Å³ per cell
- Energy of formation from the pure elements: 0.10 eV/atom


Record 21
Density functional theory data (meta-GGA SCAN) for CrSi2Ru at its PBEsol-relaxed geometry.

abc: 6.4140 6.4140 5.4609
angles: 90.00 90.00 90.00
Last column: nearest neighbours and their distance in Å.
Space group I-42d (No. 122)
Asymmetric unit:
Cr 0.0000 0.0000 0.0000  4 Si 2.40
Si 0.2427 0.7500 0.6250  2 Ru 2.34, 2 Cr 2.40
Ru 0.0000 0.0000 0.5000  4 Si 2.34

Calculated values
- E_form (uncorrected): 0.75 eV/f.u.
- V: 225 Å³ per cell


Record 22
Density functional theory data (meta-GGA SCAN) for Eu2ZnHg at its PBEsol-relaxed geometry.

abc: 7.4662 7.4662 7.4662
angles: 90.00 90.00 90.00
Last column: nearest neighbours and their distance in Å.
Space group Fm-3m (No. 225)
Asymmetric unit:
Eu 0.2500 0.2500 0.2500  4 Hg 3.23, 4 Zn 3.23
Zn 0.0000 0.0000 0.0000  8 Eu 3.23
Hg 0.0000 0.0000 0.5000  8 Eu 3.23

Calculated values
- V: 416 Å³ per cell
- Energy of formation from the pure elements: -0.50 eV/atom


Record 23
Density functional theory data (meta-GGA SCAN) for BaZnCd at its PBEsol-relaxed geometry.

abc: 4.8336 4.8336 4.3662
angles: 90.00 90.00 120.00
Last column: nearest neighbours and their distance in Å.
Space group P-6m2 (No. 187)
Asymmetric unit:
Ba 0.0000 0.0000 0.0000  6 Cd 3.54, 6 Zn 3.54
Zn 0.6667 0.3333 0.5000  3 Cd 2.79
Cd 0.3333 0.6667 0.5000  3 Zn 2.79

Calculated values
- V: 88 Å³ per cell
- Energy of formation from the pure elements: -0.29 eV/atom


Here are the calculated DFT total energy numbers, same order: -0.8690, -3.5349, -1.2625, -2.1821, -3.3732, -2.4015, -3.1025, -2.9783, -2.6892, -2.4283, -1.0135, -1.2307, -2.2330, -2.0964, -1.2496, -2.0337, -3.2164, -4.5079, -1.3912, -0.9578, -1.3320, -3.5117, -2.0663 (Ry per atom).